{"formula": "TbHoSn", "functional": "PBE-GGA", "state": "relaxed", "m_tot_mub_per_cell": 0.0, "e_form_ev_per_fu": -0.78, "energy_ev_per_cell": -55.94, "polymorph_energy_ev_per_atom": 0.3343, "lattice": [[-1.3092, 3.6237, -3.2344], [-8.2584, -3.0021, -3.9326], [-4.9068, 5.6384, 4.3910]], "species": ["Tb", "Tb", "Sn", "Ho", "Ho", "Tb", "Tb", "Sn", "Sn", "Ho", "Sn", "Ho"], "fractional_positions": [[0.8205, 0.0000, 0.3590], [0.0953, 0.8093, 0.0000], [0.2608, 0.2089, 0.2695], [0.0078, 0.6224, 0.3621], [0.3699, 0.6224, 0.6379], [0.9047, 0.1907, 0.0000], [0.1795, 0.0000, 0.6410], [0.4697, 0.7911, 0.2695], [0.5303, 0.2089, 0.7305], [0.9922, 0.3776, 0.6379], [0.7392, 0.7911, 0.7305], [0.6301, 0.3776, 0.3621]]}

***

{"formula": "TbHoSn", "functional": "PBE-GGA", "state": "relaxed", "m_tot_mub_per_cell": 0.0, "e_form_ev_per_fu": -1.77, "energy_ev_per_cell": -29.96, "polymorph_energy_ev_per_atom": 0.0038, "lattice": [[4.4634, 0.0000, -0.9308], [-0.1941, 4.4592, -0.9308], [-0.4672, -0.4879, 8.9271]], "species": ["Ho", "Sn", "Sn", "Tb", "Tb", "Ho"], "fractional_positions": [[0.5000, 0.0000, 0.0000], [0.6365, 0.6365, 0.2730], [0.3635, 0.3635, 0.7270], [0.1760, 0.1760, 0.3521], [0.8240, 0.8240, 0.6479], [0.0000, 0.5000, 0.0000]]}

***

{"formula": "TbHo3Sn", "functional": "PBE-GGA", "state": "relaxed", "m_tot_mub_per_cell": 0.0, "e_form_ev_per_fu": -0.95, "energy_ev_per_cell": -46.63, "lattice": [[-2.7460, 4.2738, -4.4491], [4.9200, -1.1704, -4.4748], [-3.5370, -4.9668, -2.9019]], "species": ["Tb", "Ho", "Sn", "Ho", "Tb", "Ho", "Ho", "Sn", "Ho", "Ho"], "fractional_positions": [[0.4536, 0.4536, 0.4536], [0.8093, 0.4539, 0.0979], [0.7036, 0.7036, 0.7036], [0.9539, 0.3093, 0.5979], [0.9536, 0.9536, 0.9536], [0.0979, 0.8093, 0.4539], [0.5979, 0.9539, 0.3093], [0.2036, 0.2036, 0.2036], [0.4539, 0.0979, 0.8093], [0.3093, 0.5979, 0.9539]]}

***

{"formula": "Tb5Ho2Sn4", "functional": "PBE-GGA", "state": "relaxed", "m_tot_mub_per_cell": 0.0, "e_form_ev_per_fu": -4.33, "energy_ev_per_cell": -52.65, "lattice": [[4.3473, 0.0000, 0.0000], [0.0000, 7.6336, -0.9237], [-2.1737, -3.9069, 10.8028]], "species": ["Ho", "Sn", "Sn", "Sn", "Sn", "Tb", "Ho", "Tb", "Tb", "Tb", "Tb"], "fractional_positions": [[0.5727, 0.5383, 0.1454], [0.7177, 0.6700, 0.4354], [0.9737, 0.2390, 0.9473], [0.2823, 0.3300, 0.5646], [0.0263, 0.7610, 0.0527], [0.8234, 0.1006, 0.6468], [0.4273, 0.4617, 0.8546], [0.1445, 0.3292, 0.2890], [0.5000, 0.0000, 0.0000], [0.8555, 0.6708, 0.7110], [0.1766, 0.8994, 0.3532]]}

***

{"formula": "Tb5Ho3Sn", "functional": "PBE-GGA", "state": "relaxed", "m_tot_mub_per_cell": 0.0, "e_form_ev_per_fu": 3.14, "energy_ev_per_cell": -75.50, "lattice": [[-5.7333, 1.0895, -5.4046], [-6.6403, -4.3700, 0.2757], [-5.7384, 7.2735, 6.0745]], "species": ["Tb", "Ho", "Tb", "Sn", "Tb", "Tb", "Ho", "Tb", "Tb", "Ho", "Tb", "Ho", "Tb", "Ho", "Tb", "Ho", "Sn", "Tb"], "fractional_positions": [[0.9204, 0.3289, 0.2384], [0.0000, 0.0000, 0.5000], [0.6711, 0.0796, 0.7616], [0.0938, 0.0938, 0.7395], [0.5031, 0.5031, 0.6376], [0.2371, 0.2371, 0.9573], [0.3324, 0.3324, 0.2129], [0.0796, 0.6711, 0.7616], [0.7629, 0.7629, 0.0427], [0.0000, 0.0000, 0.0000], [0.4969, 0.4969, 0.3624], [0.6676, 0.6676, 0.7871], [0.3330, 0.6670, 0.0000], [0.7374, 0.7374, 0.4682], [0.3289, 0.9204, 0.2384], [0.2626, 0.2626, 0.5318], [0.9062, 0.9062, 0.2605], [0.6670, 0.3330, 0.0000]]}

***

{"formula": "Tb8Ho6Sn", "functional": "PBE-GGA", "state": "relaxed", "m_tot_mub_per_cell": 0.0, "e_form_ev_per_fu": 0.75, "energy_ev_per_cell": -67.76, "lattice": [[-6.2983, 0.5172, -0.9535], [-0.1217, -8.4743, -3.7923], [-1.2998, 1.0163, 9.1372]], "species": ["Tb", "Ho", "Tb", "Tb", "Sn", "Tb", "Ho", "Ho", "Tb", "Ho", "Ho", "Ho", "Tb", "Tb", "Tb"], "fractional_positions": [[0.1844, 0.7738, 0.0404], [0.3245, 0.5496, 0.6445], [0.1844, 0.2666, 0.2262], [0.1844, 0.9596, 0.7334], [0.5000, 0.0000, 0.0000], [0.1792, 0.6667, 0.3333], [0.6755, 0.9051, 0.5496], [0.3245, 0.3555, 0.9051], [0.8156, 0.0404, 0.2666], [0.6755, 0.4504, 0.3555], [0.6755, 0.6445, 0.0949], [0.3245, 0.0949, 0.4504], [0.8156, 0.2262, 0.9596], [0.8207, 0.3333, 0.6667], [0.8156, 0.7334, 0.7738]]}

***

{"formula": "TbHo4Sn2", "functional": "PBE-GGA", "state": "relaxed", "m_tot_mub_per_cell": 0.0, "e_form_ev_per_fu": 2.84, "energy_ev_per_cell": -28.11, "lattice": [[5.3061, 0.0000, 0.0000], [0.0000, 5.3061, 0.0000], [-2.6530, -2.6530, 8.1626]], "species": ["Tb", "Ho", "Ho", "Sn", "Sn", "Ho", "Ho"], "fractional_positions": [[0.0000, 0.0000, 0.0000], [0.0000, 0.5000, 0.0000], [0.5000, 0.0000, 0.0000], [0.6287, 0.6287, 0.2575], [0.3713, 0.3713, 0.7425], [0.1853, 0.1853, 0.3706], [0.8147, 0.8147, 0.6294]]}

***

{"formula": "TbHoSn", "functional": "PBE-GGA", "state": "relaxed", "m_tot_mub_per_cell": 0.0, "e_form_ev_per_fu": -1.78, "energy_ev_per_cell": -59.96, "polymorph_energy_ev_per_atom": 0.0000, "lattice": [[4.8821, 0.0000, 0.0000], [0.0000, 6.7770, 0.0000], [0.0000, 0.0000, 10.1737]], "species": ["Ho", "Ho", "Tb", "Sn", "Ho", "Tb", "Tb", "Sn", "Sn", "Tb", "Ho", "Sn"], "fractional_positions": [[0.7500, 0.6629, 0.9506], [0.2500, 0.3371, 0.0494], [0.2500, 0.4275, 0.7066], [0.2500, 0.8023, 0.1270], [0.2500, 0.8371, 0.4506], [0.7500, 0.0725, 0.2066], [0.2500, 0.9275, 0.7934], [0.7500, 0.6977, 0.6270], [0.2500, 0.3023, 0.3730], [0.7500, 0.5725, 0.2934], [0.7500, 0.1629, 0.5494], [0.7500, 0.1977, 0.8730]]}